Record 1
VASP calculation (PBE) on a relaxed Pr3Ho3NiTe2 crystal.

The calculation puts the volume at 250 Å³ per cell. The value obtained for the total energy is -5.069 eV per atom. The calculation puts the mass density at 8.18 g cm⁻³. The energy above the most stable polymorph in this dataset is 1.035 eV per formula unit.

The structure belongs to space group P-62m (No. 189); the cell edges are 8.6183, 8.6183 and 3.8846 Å and the angles 90.00°, 90.00° and 120.00°. The inequivalent atoms are Pr at (0.0000, 0.7558, 0.0000), Ho at (0.0000, 0.4083, 0.5000), Ni at (0.0000, 0.0000, 0.5000) and Te at (0.3333, 0.6667, 0.0000).

=====

Record 2
VASP calculation (PBE) on a relaxed Ho2NiPt crystal.

The calculation puts the volume at 168 Å³ per cell. The value obtained for the total energy is -6.091 eV per atom. The calculation puts the mass density at 11.55 g cm⁻³. The formation energy is -0.90 eV/atom.

The structure belongs to space group Pmc2_1 (No. 26); the cell edges are 4.3652, 5.4541 and 7.0466 Å and the angles 90.00°, 90.00° and 90.00°. The inequivalent atoms are Ho at (0.0000, 0.1138, 0.0000), Ho at (0.5000, 0.3814, 0.6388), Ni at (0.5000, 0.1098, 0.2790) and Pt at (0.0000, 0.3875, 0.3575).

=====

Record 3
VASP calculation (PBE) on a relaxed Ho4NiPt3 crystal.

The calculation puts the volume at 173 Å³ per cell. The value obtained for the total energy is -6.353 eV per atom. The calculation puts the mass density at 12.55 g cm⁻³. The formation energy is -1.10 eV/atom.

The structure belongs to space group Pm (No. 6); the cell edges are 5.5305, 4.4464 and 7.0159 Å and the angles 90.00°, 90.66° and 90.00°. The inequivalent atoms are Ho at (0.0000, 0.0000, 0.0000), Ho at (0.2235, 0.0000, 0.5019), Ho at (0.5010, 0.5000, 0.1370), Ho at (0.7277, 0.5000, 0.6404), Ni at (0.2238, 0.5000, 0.7809), Pt at (0.0195, 0.5000, 0.2743), Pt at (0.4996, 0.0000, 0.8578) and Pt at (0.7071, 0.0000, 0.3652).

=====

Record 4
VASP calculation (PBE) on a relaxed Ho2NiPt crystal.

The calculation puts the volume at 166 Å³ per cell. The value obtained for the total energy is -6.072 eV per atom. The calculation puts the mass density at 11.65 g cm⁻³. The formation energy is -0.88 eV/atom.

The structure belongs to space group P2_1/m (No. 11); the cell edges are 5.4798, 4.3871 and 6.9207 Å and the angles 90.00°, 91.01° and 90.00°. The inequivalent atoms are Ho at (0.1382, 0.2500, 0.1769), Ho at (0.3623, 0.2500, 0.6867), Ni at (0.3727, 0.7500, 0.9647) and Pt at (0.1580, 0.7500, 0.4540).

=====

Record 5
VASP calculation (PBE) on a relaxed Ho2Si4NiPt crystal.

The calculation puts the volume at 274 Å³ per cell. The value obtained for the total energy is -6.199 eV per atom. The calculation puts the mass density at 8.45 g cm⁻³.

The structure belongs to space group Amm2 (No. 38); the cell edges are 4.0500, 4.0102 and 16.8449 Å and the angles 90.00°, 90.00° and 90.00°. The inequivalent atoms are Ho at (0.0000, 0.0000, 0.0000), Ho at (0.5000, 0.0000, 0.2034), Si at (0.0000, 0.0000, 0.3622), Si at (0.0000, 0.0000, 0.6381), Si at (0.5000, 0.0000, 0.5642), Si at (0.5000, 0.0000, 0.8607), Ni at (0.5000, 0.0000, 0.4300) and Pt at (0.0000, 0.0000, 0.7793).

=====

Record 6
VASP calculation (PBE) on a relaxed Ho3NiSn3Pt2 crystal.

The calculation puts the volume at 190 Å³ per cell. The value obtained for the total energy is -5.812 eV per atom. The calculation puts the mass density at 11.38 g cm⁻³.

The structure belongs to space group P-62m (No. 189); the cell edges are 7.5007, 7.5007 and 3.8931 Å and the angles 90.00°, 90.00° and 120.00°. The inequivalent atoms are Ho at (0.0000, 0.4053, 0.0000), Ni at (0.0000, 0.0000, 0.0000), Sn at (0.0000, 0.7506, 0.5000) and Pt at (0.3333, 0.6667, 0.5000).

=====

Record 7
VASP calculation (PBE) on a relaxed Tb2HoNiSn3Pt2 crystal.

The calculation puts the volume at 384 Å³ per cell. The value obtained for the total energy is -5.822 eV per atom. The calculation puts the mass density at 11.13 g cm⁻³.

The structure belongs to space group Amm2 (No. 38); the cell edges are 3.9327, 12.9926 and 7.5179 Å and the angles 90.00°, 90.00° and 90.00°. The inequivalent atoms are Tb at (0.0000, 0.2029, 0.0000), Ho at (0.0000, 0.0000, 0.3920), Ni at (0.0000, 0.0000, 0.7959), Sn at (0.5000, 0.0000, 0.0455), Sn at (0.5000, 0.1240, 0.6727) and Pt at (0.5000, 0.1656, 0.2977).

=====

Record 8
VASP calculation (PBE) on a relaxed TbHo2NiSn3Pt2 crystal.

The calculation puts the volume at 382 Å³ per cell. The value obtained for the total energy is -5.817 eV per atom. The calculation puts the mass density at 11.25 g cm⁻³.

The structure belongs to space group Amm2 (No. 38); the cell edges are 3.9185, 13.0069 and 7.4933 Å and the angles 90.00°, 90.00° and 90.00°. The inequivalent atoms are Tb at (0.0000, 0.0000, 0.0000), Ho at (0.0000, 0.2026, 0.3916), Ni at (0.0000, 0.0000, 0.5930), Sn at (0.5000, 0.0000, 0.3456), Sn at (0.5000, 0.1244, 0.7182) and Pt at (0.5000, 0.1677, 0.0948).

=====

Record 9
VASP calculation (PBE) on a relaxed Ho2TmNiSn3Pt2 crystal.

The calculation puts the volume at 378 Å³ per cell. The value obtained for the total energy is -5.799 eV per atom. The calculation puts the mass density at 11.46 g cm⁻³.

The structure belongs to space group Amm2 (No. 38); the cell edges are 3.8942, 12.9449 and 7.4923 Å and the angles 90.00°, 90.00° and 90.00°. The inequivalent atoms are Ho at (0.0000, 0.2025, 0.0000), Tm at (0.0000, 0.0000, 0.6071), Ni at (0.0000, 0.0000, 0.2032), Sn at (0.5000, 0.0000, 0.9528), Sn at (0.5000, 0.1246, 0.3276) and Pt at (0.5000, 0.1657, 0.7020).

=====

Record 10
VASP calculation (PBE) on a relaxed HoTm2NiSn3Pt2 crystal.

The calculation puts the volume at 375 Å³ per cell. The value obtained for the total energy is -5.787 eV per atom. The calculation puts the mass density at 11.57 g cm⁻³.

The structure belongs to space group Amm2 (No. 38); the cell edges are 3.8694, 12.9740 and 7.4746 Å and the angles 90.00°, 90.00° and 90.00°. The inequivalent atoms are Ho at (0.0000, 0.0000, 0.0000), Tm at (0.0000, 0.2025, 0.6080), Ni at (0.0000, 0.0000, 0.4063), Sn at (0.5000, 0.0000, 0.6554), Sn at (0.5000, 0.1250, 0.2810) and Pt at (0.5000, 0.1677, 0.9050).

=====

Record 11
VASP calculation (PBE) on a relaxed Ho3Zn3NiPt2 crystal.

The calculation puts the volume at 171 Å³ per cell. The value obtained for the total energy is -4.738 eV per atom. The calculation puts the mass density at 11.09 g cm⁻³. The formation energy is -0.83 eV/atom.

The structure belongs to space group P-62m (No. 189); the cell edges are 7.1829, 7.1829 and 3.8188 Å and the angles 90.00°, 90.00° and 120.00°. The inequivalent atoms are Ho at (0.0000, 0.4024, 0.0000), Zn at (0.0000, 0.7630, 0.5000), Ni at (0.0000, 0.0000, 0.0000) and Pt at (0.3333, 0.6667, 0.5000).

=====

Record 12
VASP calculation (PBE) on a relaxed RbHoNi crystal.

The calculation puts the volume at 343 Å³ per cell. The value obtained for the total energy is -2.663 eV per atom. The calculation puts the mass density at 5.98 g cm⁻³.

The structure belongs to space group F-43m (No. 216); the cell edges are 7.0030, 7.0030 and 7.0030 Å and the angles 90.00°, 90.00° and 90.00°. The inequivalent atoms are Rb at (0.0000, 0.0000, 0.0000), Ho at (0.2500, 0.2500, 0.7500) and Ni at (0.0000, 0.0000, 0.5000).